Material: Li2InIr
Method: DFT, PBE-GGA
State: optimized geometry

Properties
uncorrected energy: -4.000 eV per atom
M_tot: 0.00 μB per cell
E_form: -143 meV per atom
density of states at the Fermi level: 1.85 states/eV/f.u.

Cell: 2.877 4.078 5.550 Å, 90.00 101.59 90.00°
Element x y z (fractional)
Li  0.000  0.000  0.000
Li  0.352  0.500  0.234
In  0.904  0.000  0.523
Ir  0.482  0.500  0.765

=====

Material: AlNiSb2
Method: DFT, PBE-GGA
State: optimized geometry

Properties
uncorrected formation energy: 0.1 kJ per mole of atoms
uncorrected energy: -4.441 eV per atom
M_tot: 0.00 μB per cell
density of states at the Fermi level: 2.12 states/eV/f.u.

Cell: 3.878 3.878 6.843 Å, 106.69 106.69 59.90°
Element x y z (fractional)
Al  0.000  0.000  0.000
Ni  0.500  0.500  0.500
Sb  0.238  0.238  0.709
Sb  0.762  0.762  0.291

=====

Material: LaAlHg
Method: DFT, PBE-GGA
State: optimized geometry

Properties
uncorrected energy: -3.372 eV per atom
M_tot: 0.35 μB per cell
E_form: -381 meV per atom
density of states at the Fermi level: 1.92 states/eV/f.u.

Cell: 4.589 4.659 7.454 Å, 90.00 90.00 90.00°
Element x y z (fractional)
La  0.000  0.000  0.000
La  0.500  0.500  0.366
Al  0.500  0.000  0.683
Al  0.500  0.500  0.912
Hg  0.000  0.000  0.437
Hg  0.000  0.500  0.694

=====

Material: CsRbGaBr3
Method: DFT, PBE-GGA
State: optimized geometry

Properties
uncorrected formation energy: -128.8 kJ per mole of atoms
uncorrected energy: -2.979 eV per atom
M_tot: 0.00 μB per cell

Cell: 10.005 10.005 9.551 Å, 103.94 103.94 32.80°
Element x y z (fractional)
Cs  0.146  0.146  0.074
Cs  0.854  0.854  0.926
Rb  0.154  0.154  0.573
Rb  0.846  0.846  0.427
Ga  0.498  0.498  0.338
Ga  0.502  0.502  0.662
Br  0.000  0.000  0.260
Br  0.000  0.000  0.740
Br  0.341  0.341  0.661
Br  0.344  0.344  0.185
Br  0.656  0.656  0.815
Br  0.659  0.659  0.339

=====

Material: SmIn5Pd6
Method: DFT, PBE-GGA
State: optimized geometry

Properties
uncorrected energy: -4.707 eV per atom
M_tot: 0.00 μB per cell
E_form: -576 meV per atom
density of states at the Fermi level: 4.75 states/eV/f.u.

Cell: 4.730 6.814 7.361 Å, 90.00 108.29 90.00°
Element x y z (fractional)
Sm  0.000  0.000  0.000
In  0.000  0.500  0.000
In  0.334  0.000  0.666
In  0.338  0.500  0.675
In  0.662  0.500  0.325
In  0.666  0.000  0.334
Pd  0.171  0.261  0.345
Pd  0.171  0.739  0.345
Pd  0.500  0.263  0.000
Pd  0.500  0.737  0.000
Pd  0.829  0.261  0.655
Pd  0.829  0.739  0.655

=====

Material: SbIr2Au
Method: DFT, PBE-GGA
State: optimized geometry

Properties
uncorrected formation energy: 28.2 kJ per mole of atoms
uncorrected energy: -5.988 eV per atom
M_tot: 0.00 μB per cell
density of states at the Fermi level: 0.93 states/eV/f.u.

Cell: 4.087 3.782 4.583 Å, 90.00 102.32 90.00°
Element x y z (fractional)
Sb  0.000  0.000  0.000
Ir  0.500  0.000  0.500
Ir  0.500  0.500  0.000
Au  0.000  0.500  0.500

=====

Material: Pr2GdHg
Method: DFT, PBE-GGA
State: optimized geometry

Properties
uncorrected energy: -6.081 eV per atom
M_tot: 7.83 μB per cell
E_form: -96 meV per atom
density of states at the Fermi level: 6.17 states/eV/f.u.
distance to the lowest polymorph of the same formula: 122 meV per atom

Cell: 5.561 5.561 5.561 Å, 60.00 60.00 60.00°
Element x y z (fractional)
Pr  0.250  0.250  0.250
Pr  0.750  0.750  0.750
Gd  0.000  0.000  0.000
Hg  0.500  0.500  0.500

=====

Material: Ba2MoP
Method: DFT, PBE-GGA
State: optimized geometry

Properties
uncorrected energy: -4.348 eV per atom
M_tot: 3.09 μB per cell
E_form: 674 meV per atom
density of states at the Fermi level: 2.08 states/eV/f.u.

Cell: 5.353 5.353 5.353 Å, 60.00 60.00 60.00°
Element x y z (fractional)
Ba  0.000  0.000  0.000
Ba  0.250  0.250  0.250
Mo  0.500  0.500  0.500
P  0.750  0.750  0.750

=====

Material: Li3Nb6O11
Method: DFT, PBE-GGA
State: optimized geometry

Properties
uncorrected formation energy: -216.7 kJ per mole of atoms
uncorrected energy: -8.281 eV per atom
M_tot: 0.68 μB per cell
density of states at the Fermi level: 8.65 states/eV/f.u.

Cell: 6.055 6.055 7.581 Å, 90.00 90.00 120.00°
Element x y z (fractional)
Li  0.000  0.000  0.000
Li  0.333  0.667  0.081
Li  0.667  0.333  0.919
Nb  0.159  0.318  0.664
Nb  0.159  0.841  0.664
Nb  0.318  0.159  0.336
Nb  0.682  0.841  0.664
Nb  0.841  0.159  0.336
Nb  0.841  0.682  0.336
O  0.000  0.500  0.500
O  0.159  0.317  0.186
O  0.159  0.841  0.186
O  0.317  0.159  0.814
O  0.333  0.667  0.818
O  0.500  0.000  0.500
O  0.500  0.500  0.500
O  0.667  0.333  0.182
O  0.683  0.841  0.186
O  0.841  0.159  0.814
O  0.841  0.683  0.814

=====

Material: LiCe2Ga3Au12
Method: DFT, PBE-GGA
State: optimized geometry

Properties
uncorrected energy: -3.600 eV per atom
M_tot: 2.01 μB per cell
E_form: -145 meV per atom
density of states at the Fermi level: 18.62 states/eV/f.u.

Cell: 8.233 8.233 8.233 Å, 62.48 62.48 62.48°
Element x y z (fractional)
Li  0.000  0.000  0.000
Ce  0.380  0.380  0.380
Ce  0.620  0.620  0.620
Ga  0.000  0.000  0.500
Ga  0.000  0.500  0.000
Ga  0.500  0.000  0.000
Au  0.118  0.629  0.629
Au  0.130  0.130  0.631
Au  0.130  0.631  0.130
Au  0.369  0.870  0.870
Au  0.371  0.371  0.882
Au  0.371  0.882  0.371
Au  0.629  0.118  0.629
Au  0.629  0.629  0.118
Au  0.631  0.130  0.130
Au  0.870  0.369  0.870
Au  0.870  0.870  0.369
Au  0.882  0.371  0.371

=====

Material: LaCd6Au2
Method: DFT, PBE-GGA
State: optimized geometry

Properties
uncorrected energy: -2.011 eV per atom
M_tot: 0.00 μB per cell
E_form: -125 meV per atom
density of states at the Fermi level: 4.51 states/eV/f.u.
distance to the lowest polymorph of the same formula: 174 meV per atom

Cell: 8.593 8.593 3.392 Å, 101.24 101.24 60.05°
Element x y z (fractional)
La  0.000  0.000  0.000
Cd  0.003  0.354  0.679
Cd  0.336  0.664  0.500
Cd  0.354  0.003  0.679
Cd  0.646  0.997  0.321
Cd  0.664  0.336  0.500
Cd  0.997  0.646  0.321
Au  0.357  0.357  0.856
Au  0.643  0.643  0.144

=====

Material: Nd2In5AgRh2
Method: DFT, PBE-GGA
State: optimized geometry

Properties
uncorrected energy: -4.533 eV per atom
M_tot: 0.00 μB per cell
E_form: -455 meV per atom
density of states at the Fermi level: 6.38 states/eV/f.u.

Cell: 10.129 10.129 4.432 Å, 90.00 90.00 90.00°
Element x y z (fractional)
Nd  0.179  0.321  0.000
Nd  0.321  0.821  0.000
Nd  0.679  0.179  0.000
Nd  0.821  0.679  0.000
In  0.000  0.500  0.500
In  0.065  0.794  0.500
In  0.206  0.065  0.500
In  0.294  0.565  0.500
In  0.435  0.294  0.500
In  0.500  0.000  0.500
In  0.565  0.706  0.500
In  0.706  0.435  0.500
In  0.794  0.935  0.500
In  0.935  0.206  0.500
Ag  0.000  0.000  0.000
Ag  0.500  0.500  0.000
Rh  0.118  0.618  0.000
Rh  0.382  0.118  0.000
Rh  0.618  0.882  0.000
Rh  0.882  0.382  0.000

=====

Material: LaTh2Fe
Method: DFT, PBE-GGA
State: optimized geometry

Properties
uncorrected energy: -7.040 eV per atom
M_tot: 0.00 μB per cell
E_form: 18 meV per atom
density of states at the Fermi level: 5.57 states/eV/f.u.
distance to the lowest polymorph of the same formula: 63 meV per atom

Cell: 9.273 9.273 9.273 Å, 24.30 24.30 24.30°
Element x y z (fractional)
La  0.000  0.000  0.000
Th  0.223  0.223  0.223
Th  0.446  0.446  0.446
Fe  0.837  0.837  0.837

=====

Material: Nd2SmP3Rh12
Method: DFT, PBE-GGA
State: optimized geometry

Properties
uncorrected energy: -6.917 eV per atom
M_tot: 0.00 μB per cell
E_form: -322 meV per atom
density of states at the Fermi level: 18.48 states/eV/f.u.

Cell: 6.772 6.772 6.772 Å, 84.15 84.15 84.15°
Element x y z (fractional)
Nd  0.127  0.127  0.127
Nd  0.873  0.873  0.873
Sm  0.500  0.500  0.500
P  0.000  0.500  0.500
P  0.500  0.000  0.500
P  0.500  0.500  0.000
Rh  0.134  0.134  0.589
Rh  0.134  0.589  0.134
Rh  0.163  0.678  0.678
Rh  0.322  0.322  0.837
Rh  0.322  0.837  0.322
Rh  0.411  0.866  0.866
Rh  0.589  0.134  0.134
Rh  0.678  0.163  0.678
Rh  0.678  0.678  0.163
Rh  0.837  0.322  0.322
Rh  0.866  0.411  0.866
Rh  0.866  0.866  0.411

=====

Material: CoHg3P
Method: DFT, PBE-GGA
State: optimized geometry

Properties
uncorrected energy: -1.833 eV per atom
M_tot: 2.92 μB per cell
E_form: 851 meV per atom
density of states at the Fermi level: 5.04 states/eV/f.u.
distance to the lowest polymorph of the same formula: 0 meV per atom

Cell: 5.023 5.023 5.023 Å, 90.00 90.00 90.00°
Element x y z (fractional)
Co  0.000  0.000  0.000
Hg  0.000  0.000  0.500
Hg  0.000  0.500  0.000
Hg  0.500  0.000  0.000
P  0.500  0.500  0.500

=====

Material: TbPa2Sn
Method: DFT, PBE-GGA
State: optimized geometry

Properties
uncorrected energy: -6.612 eV per atom
M_tot: 0.00 μB per cell
E_form: 295 meV per atom
density of states at the Fermi level: 8.52 states/eV/f.u.
distance to the lowest polymorph of the same formula: 484 meV per atom

Cell: 12.329 12.329 12.329 Å, 15.12 15.12 15.12°
Element x y z (fractional)
Tb  0.000  0.000  0.000
Pa  0.413  0.413  0.413
Pa  0.587  0.587  0.587
Sn  0.500  0.500  0.500

=====

Material: Ac12In5Ge2
Method: DFT, PBE-GGA
State: optimized geometry

Properties
uncorrected energy: -4.052 eV per atom
M_tot: 0.00 μB per cell
E_form: -250 meV per atom
density of states at the Fermi level: 16.22 states/eV/f.u.

Cell: 10.225 10.225 9.716 Å, 106.62 106.62 51.32°
Element x y z (fractional)
Ac  0.020  0.020  0.303
Ac  0.062  0.590  0.317
Ac  0.086  0.663  0.932
Ac  0.337  0.914  0.068
Ac  0.410  0.938  0.683
Ac  0.419  0.419  0.648
Ac  0.581  0.581  0.352
Ac  0.590  0.062  0.317
Ac  0.663  0.086  0.932
Ac  0.914  0.337  0.068
Ac  0.938  0.410  0.683
Ac  0.980  0.980  0.697
In  0.212  0.212  0.413
In  0.268  0.268  0.990
In  0.500  0.500  0.000
In  0.732  0.732  0.010
In  0.788  0.788  0.587
Ge  0.268  0.732  0.500
Ge  0.732  0.268  0.500

=====

Material: LiVAs3
Method: DFT, PBE-GGA
State: optimized geometry

Properties
uncorrected energy: -4.996 eV per atom
M_tot: 0.00 μB per cell
E_form: 0 meV per atom
density of states at the Fermi level: 5.88 states/eV/f.u.
distance to the lowest polymorph of the same formula: 0 meV per atom

Cell: 4.777 4.777 4.777 Å, 90.00 90.00 90.00°
Element x y z (fractional)
Li  0.000  0.000  0.000
V  0.500  0.500  0.500
As  0.000  0.500  0.500
As  0.500  0.000  0.500
As  0.500  0.500  0.000

=====

Material: GaPd3Au
Method: DFT, PBE-GGA
State: optimized geometry

Properties
uncorrected energy: -4.122 eV per atom
M_tot: 0.00 μB per cell
E_form: 255 meV per atom
density of states at the Fermi level: 0.22 states/eV/f.u.
distance to the lowest polymorph of the same formula: 626 meV per atom

Cell: 4.607 4.607 4.607 Å, 90.00 90.00 90.00°
Element x y z (fractional)
Ga  0.000  0.000  0.000
Pd  0.000  0.000  0.500
Pd  0.000  0.500  0.000
Pd  0.500  0.000  0.000
Au  0.500  0.500  0.500

=====

Material: AlAgMo2
Method: DFT, PBE-GGA
State: optimized geometry

Properties
uncorrected energy: -6.955 eV per atom
M_tot: 0.00 μB per cell
E_form: 109 meV per atom
density of states at the Fermi level: 1.87 states/eV/f.u.

Cell: 2.778 4.431 5.262 Å, 90.00 96.33 90.00°
Element x y z (fractional)
Al  0.000  0.000  0.000
Ag  0.023  0.500  0.748
Mo  0.430  0.000  0.480
Mo  0.616  0.500  0.241

=====

Material: Li3DyTm2Te6
Method: DFT, PBE-GGA
State: optimized geometry

Properties
uncorrected formation energy: -123.4 kJ per mole of atoms
uncorrected energy: -4.457 eV per atom
M_tot: 0.00 μB per cell

Cell: 7.473 7.473 7.478 Å, 99.59 99.59 120.01°
Element x y z (fractional)
Li  0.000  0.000  0.000
Li  0.333  0.667  0.000
Li  0.667  0.333  0.000
Dy  0.500  0.500  0.500
Tm  0.167  0.833  0.500
Tm  0.833  0.167  0.500
Te  0.079  0.416  0.247
Te  0.248  0.248  0.754
Te  0.416  0.079  0.247
Te  0.584  0.921  0.753
Te  0.752  0.752  0.246
Te  0.921  0.584  0.753

=====

Material: HoSiSe3
Method: DFT, PBE-GGA
State: optimized geometry

Properties
uncorrected formation energy: -106.3 kJ per mole of atoms
uncorrected energy: -5.192 eV per atom
M_tot: 0.00 μB per cell
density of states at the Fermi level: 0.00 states/eV/f.u.

Cell: 6.766 7.467 11.561 Å, 90.00 122.87 90.00°
Element x y z (fractional)
Ho  0.203  0.125  0.250
Ho  0.203  0.375  0.750
Ho  0.797  0.625  0.250
Ho  0.797  0.875  0.750
Si  0.143  0.603  0.064
Si  0.143  0.897  0.564
Si  0.857  0.103  0.436
Si  0.857  0.397  0.936
Se  0.082  0.173  0.928
Se  0.082  0.327  0.428
Se  0.277  0.693  0.930
Se  0.277  0.807  0.430
Se  0.421  0.028  0.767
Se  0.421  0.472  0.267
Se  0.579  0.528  0.733
Se  0.579  0.972  0.233
Se  0.723  0.193  0.570
Se  0.723  0.307  0.070
Se  0.918  0.673  0.572
Se  0.918  0.827  0.072